(1)
A plane-wave DFT calculation with PBE was carried out for a relaxed LiLa2Hg6Pd crystal.

Cell lengths 8.0601, 6.6111, 8.0371 Å; angles 51.27, 61.52, 91.23 degrees
Element x y z (fractional)
Li 0.5000 0.5000 0.0000
La 0.2087 0.6299 0.5791
La 0.7913 0.3701 0.4209
Hg 0.3037 0.8109 0.8292
Hg 0.6326 0.8093 0.0629
Hg 0.1316 0.1824 0.5075
Hg 0.6963 0.1891 0.1708
Hg 0.3674 0.1907 0.9371
Hg 0.8684 0.8176 0.4925
Pd 0.0000 0.0000 0.0000

Computed properties:
Space group   P-1, No. 2
Raw total energy   -22.0 eV per formula unit
E_form   -0.32 eV/atom

=====

(2)
A plane-wave DFT calculation with PBE was carried out for a relaxed LiLaPm2Hg4 crystal.

Cell lengths 5.2545, 5.2545, 9.4432 Å; angles 73.85, 73.85, 60.00 degrees
Element x y z (fractional)
Li 0.5000 0.5000 0.5000
La 0.0000 0.0000 0.0000
Pm 0.7570 0.7570 0.7290
Pm 0.2430 0.2430 0.2710
Hg 0.3819 0.3819 0.8542
Hg 0.8729 0.8729 0.3812
Hg 0.1271 0.1271 0.6188
Hg 0.6181 0.6181 0.1458

Computed properties:
Space group   R-3m, No. 166
Raw total energy   -21.1 eV per formula unit
E_form   -0.45 eV/atom

=====

(3)
A plane-wave DFT calculation with PBE was carried out for a relaxed Li2LaPm2Hg2 crystal.

Cell lengths 3.6525, 3.6525, 17.5657 Å; angles 90.00, 90.00, 120.00 degrees
Element x y z (fractional)
Li 0.6667 0.3333 0.4420
Li 0.3333 0.6667 0.5580
La 0.0000 0.0000 0.0000
Pm 0.0000 0.0000 0.2878
Pm 0.0000 0.0000 0.7122
Hg 0.6667 0.3333 0.1477
Hg 0.3333 0.6667 0.8523

Computed properties:
Space group   P-3m1, No. 164
Raw total energy   -19.4 eV per formula unit
E_form   -0.08 eV/atom

=====

(4)
A plane-wave DFT calculation with PBE was carried out for a relaxed Li2LaPmHg4 crystal.

Cell lengths 5.1629, 5.1629, 8.9970 Å; angles 73.33, 73.33, 60.00 degrees
Element x y z (fractional)
Li 0.7517 0.7517 0.7450
Li 0.2483 0.2483 0.2550
La 0.0000 0.0000 0.0000
Pm 0.5000 0.5000 0.5000
Hg 0.3776 0.3776 0.8672
Hg 0.8736 0.8736 0.3791
Hg 0.1264 0.1264 0.6209
Hg 0.6224 0.6224 0.1328

Computed properties:
Space group   R-3m, No. 166
Raw total energy   -18.4 eV per formula unit
E_form   -0.46 eV/atom

=====

(5)
A plane-wave DFT calculation with PBE was carried out for a relaxed LiLaPr2Hg4 crystal.

Cell lengths 5.3087, 5.3087, 9.4904 Å; angles 73.76, 73.76, 60.00 degrees
Element x y z (fractional)
Li 0.5000 0.5000 0.5000
La 0.0000 0.0000 0.0000
Pr 0.7566 0.7566 0.7303
Pr 0.2434 0.2434 0.2697
Hg 0.3797 0.3797 0.8610
Hg 0.8732 0.8732 0.3803
Hg 0.1268 0.1268 0.6197
Hg 0.6203 0.6203 0.1390

Computed properties:
Space group   R-3m, No. 166
Raw total energy   -21.2 eV per formula unit
E_form   -0.45 eV/atom

=====

(6)
A plane-wave DFT calculation with PBE was carried out for a relaxed Li2LaPrHg4 crystal.

Cell lengths 5.1885, 5.1885, 9.0543 Å; angles 73.35, 73.35, 60.00 degrees
Element x y z (fractional)
Li 0.7508 0.7508 0.7475
Li 0.2492 0.2492 0.2525
La 0.0000 0.0000 0.0000
Pr 0.5000 0.5000 0.5000
Hg 0.3766 0.3766 0.8703
Hg 0.8749 0.8749 0.3752
Hg 0.1251 0.1251 0.6248
Hg 0.6234 0.6234 0.1297

Computed properties:
Space group   R-3m, No. 166
Raw total energy   -18.4 eV per formula unit
E_form   -0.46 eV/atom

=====

(7)
A plane-wave DFT calculation with PBE was carried out for a relaxed LiLaPrHg crystal.

Cell lengths 5.4675, 5.4675, 5.4675 Å; angles 60.00, 60.00, 60.00 degrees
Element x y z (fractional)
Pr 0.7500 0.7500 0.7500
Li 0.0000 0.0000 0.0000
Hg 0.5000 0.5000 0.5000
La 0.2500 0.2500 0.2500

Computed properties:
Space group   F-43m, No. 216
Raw total energy   -12.8 eV per formula unit
E_form   -0.21 eV/atom

=====

(8)
A plane-wave DFT calculation with PBE was carried out for a relaxed Li2LaPrHg2 crystal.

Cell lengths 5.0140, 5.0140, 6.8602 Å; angles 90.00, 90.00, 120.00 degrees
Element x y z (fractional)
Li 0.3333 0.6667 0.7392
Li 0.6667 0.3333 0.2608
La 0.0000 0.0000 0.0000
Pr 0.0000 0.0000 0.5000
Hg 0.3333 0.6667 0.2585
Hg 0.6667 0.3333 0.7415

Computed properties:
Space group   P-3m1, No. 164
Raw total energy   -16.2 eV per formula unit
E_form   -0.35 eV/atom

=====

(9)
A plane-wave DFT calculation with PBE was carried out for a relaxed LiLa2HgPt crystal.

Cell lengths 5.6297, 5.6297, 4.7773 Å; angles 90.00, 90.00, 90.00 degrees
Element x y z (fractional)
Li 0.0000 0.0000 0.5000
Hg 0.5000 0.5000 0.5000
Pt 0.0000 0.0000 0.0000
La 0.0000 0.5000 0.0000
La 0.5000 0.0000 0.0000

Computed properties:
Energy relative to the lowest polymorph listed for this composition   169 meV/atom
Space group   P4/mmm, No. 123
Raw total energy   -20.6 eV per formula unit
E_form   -0.50 eV/atom

=====

(10)
A plane-wave DFT calculation with PBE was carried out for a relaxed LiLa2HgPt crystal.

Cell lengths 4.5596, 7.8740, 7.8291 Å; angles 109.58, 90.00, 90.00 degrees
Element x y z (fractional)
Li 0.2500 0.5563 0.6557
Li 0.7500 0.4437 0.3443
La 0.7500 0.8911 0.6614
La 0.7500 0.7142 0.0387
La 0.2500 0.1089 0.3386
La 0.2500 0.2858 0.9613
Hg 0.2500 0.6690 0.3392
Hg 0.7500 0.3310 0.6608
Pt 0.2500 0.8824 0.9067
Pt 0.7500 0.1176 0.0933

Computed properties:
Energy relative to the lowest polymorph listed for this composition   0 meV/atom
Space group   P2_1/m, No. 11
Raw total energy   -21.5 eV per formula unit
E_form   -0.67 eV/atom

=====

(11)
A plane-wave DFT calculation with PBE was carried out for a relaxed LiLaHgPt crystal.

Cell lengths 5.0582, 5.0582, 5.0582 Å; angles 60.00, 60.00, 60.00 degrees
Element x y z (fractional)
Li 0.5000 0.5000 0.5000
Hg 0.2500 0.2500 0.2500
Pt 0.7500 0.7500 0.7500
La 0.0000 0.0000 0.0000

Computed properties:
Space group   F-43m, No. 216
Raw total energy   -15.5 eV per formula unit
E_form   -0.58 eV/atom

=====

(12)
A plane-wave DFT calculation with PBE was carried out for a relaxed LiLaPuHg crystal.

Cell lengths 5.3919, 5.3919, 5.3919 Å; angles 60.00, 60.00, 60.00 degrees
Element x y z (fractional)
La 0.7500 0.7500 0.7500
Li 0.5000 0.5000 0.5000
Hg 0.0000 0.0000 0.0000
Pu 0.2500 0.2500 0.2500

Computed properties:
Space group   F-43m, No. 216
Raw total energy   -21.5 eV per formula unit
E_form   0.00 eV/atom

=====

(13)
A plane-wave DFT calculation with PBE was carried out for a relaxed Li2LaReHg crystal.

Cell lengths 4.5603, 5.4999, 4.5603 Å; angles 90.00, 90.00, 90.00 degrees
Element x y z (fractional)
Re 0.5000 0.5000 0.5000
Li 0.0000 0.0000 0.5000
Li 0.5000 0.0000 0.0000
Hg 0.0000 0.5000 0.0000
La 0.0000 0.0000 0.0000

Computed properties:
Space group   P4/mmm, No. 123
Raw total energy   -10.9 eV per formula unit
E_form   2.13 eV/atom

=====

(14)
A plane-wave DFT calculation with PBE was carried out for a relaxed LiLa2HgRh crystal.

Cell lengths 5.4408, 5.4408, 4.9185 Å; angles 90.00, 90.00, 90.00 degrees
Element x y z (fractional)
Li 0.0000 0.0000 0.5000
Rh 0.0000 0.0000 0.0000
Hg 0.5000 0.5000 0.5000
La 0.0000 0.5000 0.0000
La 0.5000 0.0000 0.0000

Computed properties:
Energy relative to the lowest polymorph listed for this composition   145 meV/atom
Space group   P4/mmm, No. 123
Raw total energy   -21.3 eV per formula unit
E_form   -0.37 eV/atom

=====

(15)
A plane-wave DFT calculation with PBE was carried out for a relaxed LiLa2HgRh crystal.

Cell lengths 4.2812, 7.8882, 8.0802 Å; angles 107.55, 90.00, 90.00 degrees
Element x y z (fractional)
Li 0.2500 0.5599 0.6572
Li 0.7500 0.4401 0.3428
La 0.7500 0.8934 0.6600
La 0.7500 0.7278 0.0395
La 0.2500 0.1066 0.3400
La 0.2500 0.2722 0.9605
Hg 0.2500 0.6644 0.3368
Hg 0.7500 0.3356 0.6632
Rh 0.2500 0.8808 0.8956
Rh 0.7500 0.1192 0.1044

Computed properties:
Energy relative to the lowest polymorph listed for this composition   0 meV/atom
Space group   P2_1/m, No. 11
Raw total energy   -22.0 eV per formula unit
E_form   -0.52 eV/atom

=====

(16)
A plane-wave DFT calculation with PBE was carried out for a relaxed LiLa2HgRu crystal.

Cell lengths 5.3126, 5.3126, 5.0319 Å; angles 90.00, 90.00, 90.00 degrees
Element x y z (fractional)
Ru 0.0000 0.0000 0.0000
Li 0.0000 0.0000 0.5000
Hg 0.5000 0.5000 0.5000
La 0.0000 0.5000 0.0000
La 0.5000 0.0000 0.0000

Computed properties:
Energy relative to the lowest polymorph listed for this composition   0 meV/atom
Space group   P4/mmm, No. 123
Raw total energy   -22.3 eV per formula unit
E_form   -0.20 eV/atom

=====

(17)
A plane-wave DFT calculation with PBE was carried out for a relaxed LiLa2HgRu crystal.

Cell lengths 5.3476, 5.3476, 5.4630 Å; angles 90.00, 90.00, 90.00 degrees
Element x y z (fractional)
Ru 0.0000 0.0000 0.0000
Li 0.5000 0.5000 0.5000
Hg 0.0000 0.0000 0.5000
La 0.0000 0.5000 0.0000
La 0.5000 0.0000 0.0000

Computed properties:
Energy relative to the lowest polymorph listed for this composition   63 meV/atom
Space group   P4/mmm, No. 123
Raw total energy   -22.0 eV per formula unit
E_form   -0.13 eV/atom

=====

(18)
A plane-wave DFT calculation with PBE was carried out for a relaxed Li2LaHgS crystal.

Cell lengths 4.6607, 4.6607, 5.7037 Å; angles 90.00, 90.00, 90.00 degrees
Element x y z (fractional)
S 0.0000 0.0000 0.0000
Li 0.0000 0.5000 0.0000
Li 0.5000 0.0000 0.0000
Hg 0.5000 0.5000 0.5000
La 0.0000 0.0000 0.5000

Computed properties:
Energy relative to the lowest polymorph listed for this composition   0 meV/atom
Space group   P4/mmm, No. 123
Formation energy without anion corrections   -0.807 eV per atom
Raw total energy   -17.2 eV per formula unit

=====

(19)
A plane-wave DFT calculation with PBE was carried out for a relaxed Li2LaHgS crystal.

Cell lengths 4.6511, 6.2794, 4.6511 Å; angles 90.00, 90.00, 90.00 degrees
Element x y z (fractional)
S 0.5000 0.5000 0.5000
Li 0.0000 0.0000 0.5000
Li 0.5000 0.0000 0.0000
Hg 0.0000 0.0000 0.0000
La 0.0000 0.5000 0.0000

Computed properties:
Energy relative to the lowest polymorph listed for this composition   511 meV/atom
Space group   P4/mmm, No. 123
Formation energy without anion corrections   -0.296 eV per atom
Raw total energy   -14.7 eV per formula unit

=====

(20)
A plane-wave DFT calculation with PBE was carried out for a relaxed LiLaSc2Hg4 crystal.

Cell lengths 4.9435, 4.9435, 9.3621 Å; angles 74.69, 74.69, 60.00 degrees
Element x y z (fractional)
Li 0.5000 0.5000 0.5000
La 0.0000 0.0000 0.0000
Sc 0.7600 0.7600 0.7201
Sc 0.2400 0.2400 0.2799
Hg 0.3925 0.3925 0.8226
Hg 0.8711 0.8711 0.3867
Hg 0.1289 0.1289 0.6133
Hg 0.6075 0.6075 0.1774

Computed properties:
Space group   R-3m, No. 166
Raw total energy   -23.9 eV per formula unit
E_form   -0.39 eV/atom